Record 1
{
  "formula": "BeAsN2",
  "functional": "meta-GGA SCAN",
  "state": "single point on PBEsol structure",
  "lattice_angstrom": [[4.2756, 0.0000, 0.0000], [0.0000, 4.2756, 0.0000], [-2.1378, -2.1378, 4.3809]],
  "species": ["N", "Be", "As", "N", "N", "Be", "N", "As"],
  "fractional_positions": [[0.1250, 0.1656, 0.7500], [0.5000, 0.5000, 0.0000], [0.0000, 0.0000, 0.0000], [0.4156, 0.8750, 0.2500], [0.8344, 0.3750, 0.2500], [0.7500, 0.2500, 0.5000], [0.6250, 0.5844, 0.7500], [0.2500, 0.7500, 0.5000]],
  "raw_formation_energy_mev_per_atom": -23,
  "spacegroup": "I-42d (122)"
}

Record 2
{
  "formula": "BeNbAsN2",
  "functional": "meta-GGA SCAN",
  "state": "single point on PBEsol structure",
  "lattice_angstrom": [[3.9044, 0.0000, 0.0000], [0.0000, 3.9044, 0.0000], [0.0000, 0.0000, 5.4641]],
  "species": ["Nb", "N", "N", "Be", "As"],
  "fractional_positions": [[0.0000, 0.0000, 0.0000], [0.5000, 0.0000, 0.0000], [0.0000, 0.5000, 0.0000], [0.5000, 0.5000, 0.5000], [0.0000, 0.0000, 0.5000]],
  "raw_formation_energy_mev_per_atom": 726,
  "spacegroup": "P4/mmm (123)"
}

Record 3
{
  "formula": "BeAsSe2N",
  "functional": "meta-GGA SCAN",
  "state": "single point on PBEsol structure",
  "lattice_angstrom": [[3.5380, 0.0000, 0.0000], [0.0000, 5.0221, 0.0000], [0.0000, 0.0000, 5.0221]],
  "species": ["Se", "As", "Se", "Be", "N"],
  "fractional_positions": [[0.0000, 0.5000, 0.0000], [0.0000, 0.0000, 0.0000], [0.0000, 0.0000, 0.5000], [0.5000, 0.5000, 0.5000], [0.5000, 0.0000, 0.0000]],
  "raw_formation_energy_mev_per_atom": 1072,
  "spacegroup": "P4/mmm (123)"
}

Record 4
{
  "formula": "BeAsSeN2",
  "functional": "meta-GGA SCAN",
  "state": "single point on PBEsol structure",
  "lattice_angstrom": [[-3.2633, 0.2543, -1.3636], [0.3324, -3.2408, -1.3999], [-2.3065, -2.4254, 5.0674]],
  "species": ["N", "As", "Be", "N", "Se"],
  "fractional_positions": [[0.5000, 0.0000, 0.0000], [0.0000, 0.0000, 0.0000], [0.5000, 0.5000, 0.5000], [0.0000, 0.5000, 0.0000], [0.0000, 0.0000, 0.5000]],
  "raw_formation_energy_mev_per_atom": 1189,
  "spacegroup": "P4/mmm (123)"
}

Record 5
{
  "formula": "ZrBeAs2N",
  "functional": "meta-GGA SCAN",
  "state": "single point on PBEsol structure",
  "lattice_angstrom": [[-1.6915, -2.3351, 0.8165], [-0.4869, -1.3276, -4.8052], [4.1060, -2.8449, 0.3700]],
  "species": ["As", "Zr", "N", "As", "Be"],
  "fractional_positions": [[0.0000, 0.5000, 0.0000], [0.5000, 0.5000, 0.5000], [0.5000, 0.0000, 0.0000], [0.0000, 0.0000, 0.5000], [0.0000, 0.0000, 0.0000]],
  "raw_formation_energy_mev_per_atom": 8,
  "spacegroup": "P4/mmm (123)"
}

Record 6
{
  "formula": "NaBe2As2",
  "functional": "meta-GGA SCAN",
  "state": "single point on PBEsol structure",
  "lattice_angstrom": [[3.4919, 0.0000, 0.0000], [0.0000, 3.4919, 0.0000], [-1.7459, -1.7459, 6.9983]],
  "species": ["As", "Be", "As", "Na", "Be"],
  "fractional_positions": [[0.3561, 0.3561, 0.7122], [0.7500, 0.2500, 0.5000], [0.6439, 0.6439, 0.2878], [0.0000, 0.0000, 0.0000], [0.2500, 0.7500, 0.5000]],
  "formation_energy_ev_per_atom": -0.34,
  "spacegroup": "I4/mmm (139)"
}

Record 7
{
  "formula": "Be2Nb2As",
  "functional": "meta-GGA SCAN",
  "state": "single point on PBEsol structure",
  "lattice_angstrom": [[-3.0827, 1.7079, 0.6432], [-2.9253, -5.2589, -0.0558], [0.9177, -0.5733, 5.9199]],
  "species": ["Nb", "Be", "Be", "Nb", "Be", "Nb", "Nb", "As", "Be", "As"],
  "fractional_positions": [[0.5000, 0.1789, 0.6789], [0.0000, 0.6178, 0.1178], [0.0000, 0.1178, 0.3822], [0.5000, 0.8211, 0.3211], [0.0000, 0.8822, 0.6178], [0.5000, 0.3211, 0.1789], [0.5000, 0.6789, 0.8211], [0.0000, 0.5000, 0.5000], [0.0000, 0.3822, 0.8822], [0.0000, 0.0000, 0.0000]],
  "formation_energy_ev_per_atom": -0.21,
  "spacegroup": "P4/mbm (127)"
}

Record 8
{
  "formula": "BeNb2AsRh",
  "functional": "meta-GGA SCAN",
  "state": "single point on PBEsol structure",
  "lattice_angstrom": [[3.9566, 0.0000, 0.0000], [0.0000, 4.4362, 0.0000], [0.0000, 0.0000, 4.4362]],
  "species": ["As", "Nb", "Nb", "Be", "Rh"],
  "fractional_positions": [[0.5000, 0.5000, 0.5000], [0.0000, 0.0000, 0.5000], [0.0000, 0.5000, 0.0000], [0.0000, 0.0000, 0.0000], [0.5000, 0.0000, 0.0000]],
  "formation_energy_ev_per_atom": 0.24,
  "spacegroup": "P4/mmm (123)"
}

Record 9
{
  "formula": "BeNbAsSe2",
  "functional": "meta-GGA SCAN",
  "state": "single point on PBEsol structure",
  "lattice_angstrom": [[4.9123, 0.0000, 0.0000], [0.0000, 4.9123, 0.0000], [0.0000, 0.0000, 5.0922]],
  "species": ["Be", "Nb", "Se", "As", "Se"],
  "fractional_positions": [[0.5000, 0.5000, 0.5000], [0.0000, 0.0000, 0.0000], [0.0000, 0.5000, 0.0000], [0.0000, 0.0000, 0.5000], [0.5000, 0.0000, 0.0000]],
  "raw_formation_energy_mev_per_atom": 553,
  "spacegroup": "P4/mmm (123)"
}

Record 10
{
  "formula": "Be3NiAs",
  "functional": "meta-GGA SCAN",
  "state": "single point on PBEsol structure",
  "lattice_angstrom": [[-1.7435, 2.8704, 2.1262], [-3.2568, -2.2492, 0.3658], [1.4672, -1.5816, 3.3384]],
  "species": ["Ni", "As", "Be", "Be", "Be"],
  "fractional_positions": [[0.0000, 0.0000, 0.0000], [0.5000, 0.5000, 0.5000], [0.5000, 0.0000, 0.0000], [0.0000, 0.0000, 0.5000], [0.0000, 0.5000, 0.0000]],
  "formation_energy_ev_per_atom": 0.45,
  "spacegroup": "Pm-3m (221)"
}

Record 11
{
  "formula": "BeNiAsSe2",
  "functional": "meta-GGA SCAN",
  "state": "single point on PBEsol structure",
  "lattice_angstrom": [[4.2191, 0.0000, 0.0000], [0.0000, 4.5049, 0.0000], [0.0000, 0.0000, 4.5049]],
  "species": ["As", "Se", "Be", "Se", "Ni"],
  "fractional_positions": [[0.5000, 0.0000, 0.0000], [0.0000, 0.0000, 0.5000], [0.0000, 0.0000, 0.0000], [0.0000, 0.5000, 0.0000], [0.5000, 0.5000, 0.5000]],
  "raw_formation_energy_mev_per_atom": 754,
  "spacegroup": "P4/mmm (123)"
}

Record 12
{
  "formula": "Be3AsO",
  "functional": "meta-GGA SCAN",
  "state": "single point on PBEsol structure",
  "lattice_angstrom": [[3.6573, 0.0000, 0.0000], [0.0000, 3.6573, 0.0000], [0.0000, 0.0000, 3.6573]],
  "species": ["O", "Be", "Be", "Be", "As"],
  "fractional_positions": [[0.0000, 0.0000, 0.0000], [0.0000, 0.5000, 0.0000], [0.0000, 0.0000, 0.5000], [0.5000, 0.0000, 0.0000], [0.5000, 0.5000, 0.5000]],
  "raw_formation_energy_mev_per_atom": -359,
  "spacegroup": "Pm-3m (221)"
}

no.,total magnetization (μB per cell),DFT total energy (eV per atom)
1,0.0,-10.81
2,1.6,-14.52
3,0.0,-13.73
4,0.5,-11.45
5,0.0,-16.94
6,0.0,-11.00
7,0.0,-19.24
8,0.0,-24.68
9,0.0,-19.01
10,0.0,-9.44
11,1.0,-15.42
12,0.0,-8.26